## RbCe6S8 (PBE)

Data for crystalline RbCe6S8 at its relaxed geometry.

Output
Total energy ... -0.4734 Ry per atom
Formation energy (no corrections) ... -1.801 eV per atom

a b c (Å): 10.944 10.944 4.139
angles (deg): 90.00 90.00 120.00
Positions (direct):
Rb 0.000 0.000 0.000
Ce 0.140 0.477 0.252
Ce 0.337 0.860 0.252
Ce 0.477 0.337 0.748
Ce 0.523 0.663 0.252
Ce 0.663 0.140 0.748
Ce 0.860 0.523 0.748
S 0.043 0.685 0.247
S 0.315 0.358 0.247
S 0.333 0.667 0.752
S 0.358 0.043 0.753
S 0.642 0.957 0.247
S 0.667 0.333 0.248
S 0.685 0.642 0.753
S 0.957 0.315 0.753